1.
The following is a GGA-PBE calculation of a relaxed Y4Sc2Fe3N3 crystal, from OQMD via LeMat-Bulk.

The structure in extended XYZ format:
```
24
Lattice="5.029 -2.899 0.000 5.029 2.899 0.000 -3.385 0.000 14.079" Properties=species:S:1:pos:R:3 pbc="T T T"
Fe 3.635 1.159 10.560
Fe 5.328 -1.159 3.521
Y 5.839 0.470 12.584
N 0.825 1.416 14.076
Fe 2.490 -0.821 10.559
Y 0.809 -0.494 5.542
Y -0.884 0.494 12.582
Fe 4.183 0.821 3.520
Y 7.532 -0.470 5.545
Y 7.557 -0.494 1.497
N 2.518 -1.416 7.036
Y 5.864 0.494 8.536
Fe 3.038 -1.159 3.518
Y 0.833 -0.470 1.495
Y -0.859 0.470 8.534
Fe 1.345 1.159 10.558
Sc 2.511 0.500 12.986
Sc 4.161 -0.500 1.093
N 0.822 1.449 7.039
Sc 2.469 0.500 8.133
Sc 4.204 -0.500 5.946
N 5.848 -1.416 0.003
N 4.155 1.416 7.042
N 2.515 -1.449 0.000
```

Output
The magnetization comes out at 11.97 Bohr magnetons per cell. The energy comes out at -193.728 eV/cell. The volume is 17.10 Å³/atom. As for the space group: No. 15.

2.
The following is a GGA-PBE calculation of a relaxed DyAuSO crystal, from OQMD via LeMat-Bulk.

The structure in extended XYZ format:
```
16
Lattice="-2.460 3.950 -3.181 -4.023 0.627 3.889 6.019 7.326 5.045" Properties=species:S:1:pos:R:3 pbc="T T T"
S 0.808 3.304 0.728
O 1.870 10.641 4.864
Dy 1.685 10.729 2.628
O 3.105 8.675 6.460
O -0.884 1.036 -0.513
Au -2.143 6.205 -0.437
Au 0.947 5.812 6.898
O -2.121 3.003 -2.107
S 3.056 6.515 3.177
S -2.561 5.239 1.649
Dy -2.718 1.263 3.675
S 0.320 8.351 3.486
Dy -1.936 2.926 0.143
Au 1.875 4.986 1.905
Dy 0.900 9.066 6.163
Au -1.087 6.722 2.638
```

Output
The offset from the most stable computed form is 0.000 eV/atom. The magnetization comes out at 0.00 Bohr magnetons per cell. The energy comes out at -99.354 eV/cell. The volume is 21.29 Å³/atom. As for the space group: No. 4.